! AlCr2F | the Alexandria database | GGA+U | relaxed; values from VASP
&SYSTEM
  ibrav = 0, nat = 8, ntyp = 3
/
ATOMIC_SPECIES
Al 26.98 Al.upf
F 19.00 F.upf
Cr 52.00 Cr.upf
CELL_PARAMETERS angstrom
6.6780 0.0000 0.0000
0.0000 6.6780 0.0000
3.3390 3.3390 3.1128
ATOMIC_POSITIONS angstrom
Al 6.6780 3.3390 1.5564
Al 0.0000 0.0000 0.0000
F 3.3390 6.6780 1.5564
F 3.3390 3.3390 0.0000
Cr 2.0468 5.0085 0.7782
Cr 4.6313 1.6695 0.7782
Cr 5.0085 5.3858 2.3346
Cr 8.3475 7.9703 2.3346
! Space group: I-42d, No. 122
! Polymorph energy (0 for the lowest one) (eV per atom): 0.000
! Magnetization (μB/atom): 2.304
! Crystal system: tetragonal